[1]
DFT (GGA-PBE) results for crystalline Zr3Br at its relaxed geometry.

The structure in POSCAR format:
```
Zr3Br
1.0
4.459 0.000 0.000
0.000 4.459 0.000
0.000 0.000 4.459
Br Zr
1 3
Direct
0.000 0.000 0.000
0.000 0.500 0.500
0.500 0.000 0.500
0.500 0.500 0.000
```

Calculated values
Energy relative to the lowest polymorph listed for this composition: 494 meV per atom
Mass density: 6.62 g/cm3
Fermi-level density of states: 1.5311 states/eV/atom
Formation energy from raw total energies: 0.242 eV per atom
Total DFT energy (no corrections): -6.5871 eV per atom

[2]
DFT (GGA-PBE) results for crystalline NdDyY2Ho at its relaxed geometry.

The structure in POSCAR format:
```
NdDyY2Ho
1.0
7.230 0.000 0.000
0.000 8.434 0.000
0.000 -4.217 5.744
Nd Dy Y Ho
2 2 4 2
Direct
0.250 0.728 0.456
0.750 0.272 0.544
0.250 0.996 0.993
0.750 0.004 0.007
0.500 0.310 0.000
0.000 0.690 0.000
0.500 0.690 0.000
0.000 0.310 0.000
0.750 0.726 0.452
0.250 0.274 0.548
```

Calculated values
Mass density: 6.16 g/cm3
Energy of formation: 0.39 eV per atom
Fermi-level density of states: 1.4128 states/eV/atom
Total DFT energy (no corrections): -4.9891 eV per atom

[3]
DFT (GGA-PBE) results for crystalline YNiSe3 at its relaxed geometry.

The structure in POSCAR format:
```
YNiSe3
1.0
-3.717 2.940 0.090
-1.489 -2.006 4.028
2.537 3.130 2.496
Y Ni Se
1 1 3
Direct
0.500 0.500 0.500
0.000 0.000 0.000
0.000 0.500 0.000
0.000 0.000 0.500
0.500 0.000 0.000
```

Calculated values
Energy relative to the lowest polymorph listed for this composition: 0 meV per atom
Mass density: 6.00 g/cm3
Fermi-level density of states: 0.6121 states/eV/atom
Formation energy from raw total energies: -0.631 eV per atom
Total DFT energy (no corrections): -5.1709 eV per atom